(1)
Entry from the Alexandria database: YCu3PbSe4 after structural relaxation (GGA-PBE).

Lattice parameters (Å, degrees): 6.2974 6.2974 6.2974 90.00 90.00 90.00
Space group P-43m (No. 215)
Symmetry-distinct sites (fractional):
1 Y 0.0000 0.0000 0.0000 (multiplicity 1)
2 Cu 0.0000 0.0000 0.5000 (multiplicity 3)
3 Pb 0.5000 0.5000 0.5000 (multiplicity 1)
4 Se 0.2390 0.2390 0.2390 (multiplicity 4)

Results
- total magnetic moment (μB per atom) = 0.000
- raw formation energy (eV per atom) = -0.459
- energy (eV/atom) = -4.504
- ρ (Mg/m³) = 5.34

***

(2)
Entry from the Alexandria database: ZrCuPb2Se5 after structural relaxation (GGA-PBE).

Lattice parameters (Å, degrees): 3.9229 18.0390 12.9836 90.00 90.00 90.00
Space group Cmc2_1 (No. 36)
Symmetry-distinct sites (fractional):
1 Zr 0.0000 0.1925 0.0000 (multiplicity 4)
2 Cu 0.0000 0.4297 0.4238 (multiplicity 4)
3 Pb 0.0000 0.1138 0.2940 (multiplicity 4)
4 Pb 0.0000 0.1176 0.6429 (multiplicity 4)
5 Se 0.0000 0.0454 0.0270 (multiplicity 4)
6 Se 0.0000 0.2884 0.6466 (multiplicity 4)
7 Se 0.0000 0.3037 0.3560 (multiplicity 4)
8 Se 0.0000 0.3468 0.9819 (multiplicity 4)
9 Se 0.0000 0.4944 0.2626 (multiplicity 4)

Results
- total magnetic moment (μB per atom) = 0.000
- raw formation energy (eV per atom) = -0.678
- energy (eV/atom) = -4.843
- ρ (Mg/m³) = 6.97

***

(3)
Entry from the Alexandria database: CuSiPb after structural relaxation (GGA-PBE).

Lattice parameters (Å, degrees): 4.0500 4.0500 4.4070 90.00 90.00 120.00
Space group P-6m2 (No. 187)
Symmetry-distinct sites (fractional):
1 Cu 0.0000 0.0000 0.0000 (multiplicity 1)
2 Si 0.6667 0.3333 0.0000 (multiplicity 1)
3 Pb 0.3333 0.6667 0.5000 (multiplicity 1)

Results
- total magnetic moment (μB per atom) = 0.000
- raw formation energy (eV per atom) = 0.215
- energy above the most stable polymorph in this dataset (meV per atom) = 0
- energy (eV/atom) = -4.194
- ρ (Mg/m³) = 7.93

***

(4)
Entry from the Alexandria database: CuSiPb2 after structural relaxation (GGA-PBE).

Lattice parameters (Å, degrees): 6.9360 4.0275 7.1796 90.00 109.06 90.00
Space group C2/m (No. 12)
Symmetry-distinct sites (fractional):
1 Cu 0.0000 0.0000 0.0000 (multiplicity 2)
2 Si 0.0000 0.5000 0.5000 (multiplicity 2)
3 Pb 0.2469 0.5000 0.2428 (multiplicity 4)

Results
- total magnetic moment (μB per atom) = 0.000
- raw formation energy (eV per atom) = 0.424
- energy (eV/atom) = -3.810
- ρ (Mg/m³) = 8.87

***

(5)
Entry from the Alexandria database: CuSiPb2 after structural relaxation (GGA-PBE).

Lattice parameters (Å, degrees): 3.4117 3.4117 7.8081 90.00 90.00 90.00
Space group P4/mmm (No. 123)
Symmetry-distinct sites (fractional):
1 Cu 0.0000 0.0000 0.0000 (multiplicity 1)
2 Si 0.0000 0.0000 0.5000 (multiplicity 1)
3 Pb 0.5000 0.5000 0.2356 (multiplicity 2)

Results
- total magnetic moment (μB per atom) = 0.000
- raw formation energy (eV per atom) = 0.439
- energy (eV/atom) = -3.795
- ρ (Mg/m³) = 9.25

***

(6)
Entry from the Alexandria database: CuSi2Pb after structural relaxation (GGA-PBE).

Lattice parameters (Å, degrees): 4.4813 4.9234 6.8815 90.00 90.00 90.00
Space group Cmmm (No. 65)
Symmetry-distinct sites (fractional):
1 Cu 0.0000 0.0000 0.0000 (multiplicity 2)
2 Si 0.0000 0.5000 0.1749 (multiplicity 4)
3 Pb 0.0000 0.0000 0.5000 (multiplicity 2)

Results
- total magnetic moment (μB per atom) = 0.000
- raw formation energy (eV per atom) = 0.387
- energy (eV/atom) = -4.275
- ρ (Mg/m³) = 7.15

***

(7)
Entry from the Alexandria database: CuSiPb2 after structural relaxation (GGA-PBE).

Lattice parameters (Å, degrees): 7.2059 6.8174 3.7199 90.00 90.41 90.00
Space group C2/m (No. 12)
Symmetry-distinct sites (fractional):
1 Cu 0.0000 0.0000 0.0000 (multiplicity 2)
2 Si 0.0000 0.5000 0.0000 (multiplicity 2)
3 Pb 0.2500 0.2500 0.5000 (multiplicity 4)

Results
- total magnetic moment (μB per atom) = 0.000
- raw formation energy (eV per atom) = 0.467
- energy (eV/atom) = -3.767
- ρ (Mg/m³) = 9.20

***

(8)
Entry from the Alexandria database: CuSi2Pb after structural relaxation (GGA-PBE).

Lattice parameters (Å, degrees): 3.5223 3.5223 6.2694 90.00 90.00 90.00
Space group P4mm (No. 99)
Symmetry-distinct sites (fractional):
1 Cu 0.0000 0.0000 0.0000 (multiplicity 1)
2 Si 0.0000 0.5000 0.7176 (multiplicity 2)
3 Pb 0.5000 0.5000 0.2667 (multiplicity 1)

Results
- total magnetic moment (μB per atom) = 0.000
- raw formation energy (eV per atom) = 0.297
- energy (eV/atom) = -4.365
- ρ (Mg/m³) = 6.98

***

(9)
Entry from the Alexandria database: CuSi2Pb after structural relaxation (GGA-PBE).

Lattice parameters (Å, degrees): 4.6601 4.6601 15.7727 90.00 90.00 90.00
Space group I-42d (No. 122)
Symmetry-distinct sites (fractional):
1 Cu 0.0000 0.0000 0.0000 (multiplicity 4)
2 Si 0.1115 0.2500 0.1250 (multiplicity 8)
3 Pb 0.0000 0.0000 0.5000 (multiplicity 4)

Results
- total magnetic moment (μB per atom) = 0.000
- raw formation energy (eV per atom) = 0.349
- energy (eV/atom) = -4.314
- ρ (Mg/m³) = 6.34

***

(10)
Entry from the Alexandria database: Cu2SiPb2 after structural relaxation (GGA-PBE).

Lattice parameters (Å, degrees): 8.2009 8.2009 3.1579 90.00 90.00 90.00
Space group P4/mbm (No. 127)
Symmetry-distinct sites (fractional):
1 Cu 0.1057 0.3943 0.0000 (multiplicity 4)
2 Si 0.0000 0.0000 0.5000 (multiplicity 2)
3 Pb 0.1876 0.6876 0.5000 (multiplicity 4)

Results
- total magnetic moment (μB per atom) = 0.000
- raw formation energy (eV per atom) = 0.525
- energy above the most stable polymorph in this dataset (meV per atom) = 234
- energy (eV/atom) = -3.682
- ρ (Mg/m³) = 8.91

***

(11)
Entry from the Alexandria database: Cu2SiPb after structural relaxation (GGA-PBE).

Lattice parameters (Å, degrees): 3.1869 4.8933 9.1178 90.00 90.00 90.00
Space group Imm2 (No. 44)
Symmetry-distinct sites (fractional):
1 Cu 0.0000 0.0000 0.0000 (multiplicity 2)
2 Cu 0.0000 0.5000 0.2720 (multiplicity 2)
3 Si 0.0000 0.0000 0.5654 (multiplicity 2)
4 Pb 0.0000 0.5000 0.7800 (multiplicity 2)

Results
- total magnetic moment (μB per atom) = 0.000
- raw formation energy (eV per atom) = 0.427
- energy above the most stable polymorph in this dataset (meV per atom) = 332
- energy (eV/atom) = -3.904
- ρ (Mg/m³) = 8.46

***

(12)
Entry from the Alexandria database: Cu2SiPb after structural relaxation (GGA-PBE).

Lattice parameters (Å, degrees): 5.9530 6.1285 3.9590 90.00 102.15 90.00
Space group C2/m (No. 12)
Symmetry-distinct sites (fractional):
1 Cu 0.2500 0.2500 0.0000 (multiplicity 4)
2 Si 0.0000 0.0000 0.5000 (multiplicity 2)
3 Pb 0.0000 0.5000 0.5000 (multiplicity 2)

Results
- total magnetic moment (μB per atom) = 0.000
- raw formation energy (eV per atom) = 0.429
- energy above the most stable polymorph in this dataset (meV per atom) = 334
- energy (eV/atom) = -3.902
- ρ (Mg/m³) = 8.52